RbPb6Au2 after structural relaxation, computed with PBE-GGA.

The space group is P4/mmm (No. 123) and the conventional cell measures 4.8991, 4.8991 and 11.6544 Å, with angles of 90.00, 90.00 and 90.00 degrees. The asymmetric unit holds Rb at (0.0000, 0.0000, 0.0000), Pb at (0.0000, 0.0000, 0.5000), Pb at (0.0000, 0.5000, 0.2774), Pb at (0.5000, 0.5000, 0.5000) and Au at (0.5000, 0.5000, 0.1173).

As for the magnetic moment: 0.0 μB per formula unit. As for the raw total energy: -30.5 eV per formula unit. For the formation energy, the calculation gives -8 kJ per mole of atoms.